Arrangement w

Computed, not measured: a relaxed structure of HPd4Pb2 at the PBE level of DFT.

a = 4.0745 Å, b = 4.0745 Å, c = 7.6972 Å
α = 74.65°, β = 74.65°, γ = 90.00°
Fractional positions:
H 0.0000 0.0000 0.0000
Pd 0.1417 0.1417 0.7166
Pd 0.5000 0.0000 0.0000
Pd 0.8583 0.8583 0.2834
Pd 0.0000 0.5000 0.0000
Pb 0.3400 0.3400 0.3200
Pb 0.6600 0.6600 0.6800

---

Arrangement x

Computed, not measured: a relaxed structure of HPd4Pb2 at the PBE level of DFT.

a = 5.5009 Å, b = 5.8148 Å, c = 7.9845 Å
α = 90.00°, β = 113.10°, γ = 90.00°
Fractional positions:
H 0.8506 0.2500 0.2354
H 0.1494 0.7500 0.7646
Pb 0.2703 0.2500 0.0248
Pb 0.2519 0.7500 0.3791
Pb 0.7481 0.2500 0.6209
Pb 0.7297 0.7500 0.9752
Pd 0.2862 0.0060 0.6946
Pd 0.7138 0.9940 0.3054
Pd 0.7870 0.7500 0.6418
Pd 0.2593 0.7500 0.0209
Pd 0.2862 0.4940 0.6946
Pd 0.7138 0.5060 0.3054
Pd 0.7407 0.2500 0.9791
Pd 0.2130 0.2500 0.3582

---

arrangement x comes first in stability; the runner-up is 1.0 kJ/mol of atoms higher.

---

Arrangement w

Computed, not measured: a relaxed structure of HPdPb2 at the PBE level of DFT.

a = 4.8093 Å, b = 4.8093 Å, c = 4.8093 Å
α = 60.00°, β = 60.00°, γ = 60.00°
Fractional positions:
H 0.0000 0.0000 0.0000
Pd 0.5000 0.5000 0.5000
Pb 0.2500 0.2500 0.2500
Pb 0.7500 0.7500 0.7500

---

Arrangement x

Computed, not measured: a relaxed structure of HPdPb2 at the PBE level of DFT.

a = 5.4013 Å, b = 5.4013 Å, c = 7.4955 Å
α = 68.88°, β = 68.88°, γ = 90.00°
Fractional positions:
Pd 0.7500 0.2500 0.5000
Pd 0.0000 0.0000 0.0000
H 0.5000 0.5000 0.0000
H 0.2500 0.7500 0.5000
Pb 0.5569 0.1250 0.2500
Pb 0.1931 0.6250 0.2500
Pb 0.8750 0.8069 0.7500
Pb 0.3750 0.4431 0.7500

---

arrangement w comes first in stability; the runner-up is 6.2 kJ/mol of atoms higher.

---

Arrangement w

Computed, not measured: a relaxed structure of H2Pd5Pb2 at the PBE level of DFT.

a = 4.1262 Å, b = 5.9364 Å, c = 6.5551 Å
α = 107.99°, β = 90.00°, γ = 110.34°
Fractional positions:
Pd 0.8800 0.7600 0.3513
Pd 0.6602 0.3205 0.9565
Pd 0.0000 0.0000 0.0000
Pd 0.1200 0.2400 0.6487
Pd 0.3398 0.6795 0.0435
H 0.1584 0.3168 0.9622
H 0.8416 0.6832 0.0378
Pb 0.6070 0.2141 0.3464
Pb 0.3930 0.7859 0.6536

---

Arrangement x

Computed, not measured: a relaxed structure of H2Pd5Pb2 at the PBE level of DFT.

a = 3.9075 Å, b = 5.4685 Å, c = 6.7160 Å
α = 84.62°, β = 90.00°, γ = 110.93°
Fractional positions:
Pb 0.4144 0.8287 0.7218
Pb 0.5856 0.1713 0.2782
H 0.8421 0.6842 0.1536
H 0.1579 0.3158 0.8464
Pd 0.2949 0.5898 0.1402
Pd 0.7051 0.4102 0.8598
Pd 0.8604 0.7209 0.4294
Pd 0.1396 0.2791 0.5706
Pd 0.0000 0.0000 0.0000

---

arrangement x comes first in stability; the runner-up is 0.9 kJ/mol of atoms higher.

---

Arrangement w

Computed, not measured: a relaxed structure of HPd2PtPb at the PBE level of DFT.

a = 3.9885 Å, b = 3.9885 Å, c = 4.7137 Å
α = 90.00°, β = 90.00°, γ = 90.00°
Fractional positions:
Pd 0.5000 0.0000 0.0000
Pd 0.0000 0.5000 0.0000
Pt 0.5000 0.5000 0.5000
H 0.0000 0.0000 0.0000
Pb 0.0000 0.0000 0.5000

---

Arrangement x

Computed, not measured: a relaxed structure of HPd2PtPb at the PBE level of DFT.

a = 4.3735 Å, b = 4.3735 Å, c = 3.8101 Å
α = 90.00°, β = 90.00°, γ = 90.00°
Fractional positions:
Pd 0.0000 0.5000 0.0000
Pd 0.5000 0.0000 0.0000
Pt 0.0000 0.0000 0.5000
H 0.0000 0.0000 0.0000
Pb 0.5000 0.5000 0.5000

---

arrangement x comes first in stability; the runner-up is 16.3 kJ/mol of atoms higher.

---

Arrangement w

Computed, not measured: a relaxed structure of PmHPb at the PBE level of DFT.

a = 3.9784 Å, b = 8.9025 Å, c = 7.5680 Å
α = 78.88°, β = 90.00°, γ = 90.00°
Fractional positions:
H 0.2500 0.0807 0.4458
H 0.7500 0.9193 0.5542
H 0.2500 0.5807 0.9458
H 0.7500 0.4193 0.0542
Pb 0.7500 0.5195 0.6489
Pb 0.2500 0.4805 0.3511
Pb 0.7500 0.0195 0.1489
Pb 0.2500 0.9805 0.8511
Pm 0.2500 0.8237 0.4812
Pm 0.7500 0.1763 0.5188
Pm 0.2500 0.3237 0.9812
Pm 0.7500 0.6763 0.0188

---

Arrangement x

Computed, not measured: a relaxed structure of PmHPb at the PBE level of DFT.

a = 5.2708 Å, b = 3.7944 Å, c = 3.7944 Å
α = 120.00°, β = 90.00°, γ = 90.00°
Fractional positions:
Pm 0.1666 0.6667 0.3333
H 0.1668 0.0000 0.0000
Pb 0.6666 0.3333 0.6667

---

arrangement x comes first in stability; the runner-up is 6.8 kJ/mol of atoms higher.

---

Arrangement w

Computed, not measured: a relaxed structure of PmHPb at the PBE level of DFT.

a = 3.3231 Å, b = 3.3231 Å, c = 6.4153 Å
α = 105.01°, β = 105.01°, γ = 90.00°
Fractional positions:
H 0.2674 0.2674 0.5347
Pb 0.0062 0.0062 0.0125
Pm 0.7264 0.7264 0.4528

---

Arrangement x

Computed, not measured: a relaxed structure of PmHPb at the PBE level of DFT.

a = 3.7642 Å, b = 3.7621 Å, c = 11.8399 Å
α = 98.99°, β = 80.85°, γ = 59.98°
Fractional positions:
Pb 0.6389 0.8571 0.8651
Pb 0.3611 0.1429 0.1349
Pm 0.8004 0.0334 0.3659
Pm 0.1996 0.9666 0.6341
H 0.5960 0.2371 0.5709
H 0.4040 0.7629 0.4291

---

arrangement x comes first in stability; the runner-up is 6.2 kJ/mol of atoms higher.